No. 1
A geometry-optimized ErPuSnPd structure. Source: Alexandria via LeMat-Bulk, functional GGA-PBE.

a b c (Å): 5.167 5.167 5.167
angles (deg): 60.00 60.00 60.00
Site moments in Bohr magnetons follow the coordinates.
Fractional positions:
1 Er 0.500 0.500 0.500  0.04
2 Sn 0.250 0.250 0.250  -0.07
3 Pd 0.750 0.750 0.750  -0.06
4 Pu 0.000 0.000 0.000  5.29

DOS at the Fermi energy: 2.708 states/eV per atom
Uncorrected energy: -7.51 eV per atom

No. 2
A geometry-optimized Sc2Cd structure. Source: Alexandria via LeMat-Bulk, functional GGA-PBE.

a b c (Å): 6.076 6.076 7.530
angles (deg): 75.37 75.37 31.20
Site moments in Bohr magnetons follow the coordinates.
Fractional positions:
1 Cd 0.002 0.002 0.997  0.01
2 Cd 0.609 0.609 0.281  0.01
3 Sc 0.667 0.667 0.675  0.27
4 Sc 0.330 0.330 0.331  0.30
5 Sc 0.281 0.281 0.947  0.30
6 Sc 0.944 0.944 0.603  0.27

DOS at the Fermi energy: 1.366 states/eV per atom
Uncorrected energy: -4.63 eV per atom

No. 3
A geometry-optimized Hf2TiBeC structure. Source: Alexandria via LeMat-Bulk, functional GGA-PBE.

a b c (Å): 4.522 4.168 4.522
angles (deg): 90.00 90.00 90.00
Fractional positions:
1 Be 0.000 0.000 0.000
2 C 0.500 0.500 0.500
3 Hf 0.000 0.000 0.500
4 Hf 0.500 0.000 0.000
5 Ti 0.000 0.500 0.000

DOS at the Fermi energy: 0.845 states/eV per atom
Uncorrected energy: -6.94 eV per atom
E above lowest polymorph: 0.000 eV/atom